a | VASP calculation (GGA-PBE) on crystalline LiPr2Te at its relaxed geometry.

abc: 4.0754 4.0754 32.7931
angles: 90.00 90.00 120.00
With the nearest neighbours (Å) after each atom.
Space group R-3m (No. 166, hexagonal axes)
Unique sites:
Li (0.0000, 0.0000, 0.0000)  2 Pr 3.45
Pr (0.0000, 0.0000, 0.1053)  3 Te 3.10, 1 Li 3.45
Te (0.0000, 0.0000, 0.5000)  6 Pr 3.10

Calculated values
Magnetization   0.0 μB per cell


b | VASP calculation (GGA-PBE) on crystalline LiPr2Te at its relaxed geometry.

abc: 4.2814 4.2814 22.7845
angles: 90.00 90.00 120.00
With the nearest neighbours (Å) after each atom.
Space group R3m (No. 160, hexagonal axes)
Unique sites:
Li (0.0000, 0.0000, 0.0000)  3 Te 2.48
Pr (0.0000, 0.0000, 0.2253)  3 Te 3.39, 3 Li 3.49
Pr (0.0000, 0.0000, 0.4313)  3 Li 3.33, 3 Te 3.43
Te (0.0000, 0.0000, 0.6605)  3 Li 2.48

Calculated values
Magnetization   1.6 μB per cell


c | VASP calculation (GGA-PBE) on crystalline LiPr2Te at its relaxed geometry.

abc: 4.0943 4.0943 6.8778
angles: 90.00 90.00 90.00
With the nearest neighbours (Å) after each atom.
Space group P4/mmm (No. 123)
Unique sites:
Li (0.0000, 0.0000, 0.0000)  8 Pr 3.36, 2 Te 3.44
Pr (0.5000, 0.5000, 0.2475)  4 Li 3.36, 4 Te 3.38, 2 Pr 3.40-3.47
Te (0.0000, 0.0000, 0.5000)  8 Pr 3.38, 2 Li 3.44

Calculated values
Magnetization   0.0 μB per cell


We find c to be the most stable, with the next structure 36 meV per atom higher.


a | VASP calculation (GGA-PBE) on crystalline Li2Pr3Te4 at its relaxed geometry.

abc: 14.2729 11.1717 6.7124
angles: 90.00 95.50 90.00
With the nearest neighbours (Å) after each atom.
Space group C2/c (No. 15)
Unique sites:
Li (0.2100, 0.1239, 0.0778)  4 Te 2.68-2.81
Pr (0.0000, 0.1034, 0.7500)  6 Te 3.15-3.32
Pr (0.1131, 0.3801, 0.4842)  6 Te 3.21-3.43
Te (0.1062, 0.3324, 0.9784)  2 Li 2.73-2.81
Te (0.1547, 0.0965, 0.4463)  2 Li 2.68-2.71

Calculated values
Magnetization   0.0 μB per cell


b | VASP calculation (GGA-PBE) on crystalline Li2Pr3Te4 at its relaxed geometry.

abc: 15.0692 4.2529 9.6617
angles: 90.00 124.25 90.00
With the nearest neighbours (Å) after each atom.
Space group C2/m (No. 12)
Unique sites:
Li (0.1837, 0.0000, 0.3690)  4 Te 2.69-2.93
Pr (0.0000, 0.5000, 0.0000)  6 Te 3.19-3.39
Pr (0.1226, 0.0000, 0.7169)  7 Te 3.19-3.44
Te (0.0816, 0.5000, 0.4062)  3 Li 2.76-2.93
Te (0.1830, 0.0000, 0.0905)  1 Li 2.69

Calculated values
Magnetization   0.0 μB per cell


We find b to be the most stable, with the next structure 38 meV per atom higher.


a | VASP calculation (GGA-PBE) on crystalline LiPrTh at its relaxed geometry.

abc: 3.6895 3.6895 13.0466
angles: 90.00 90.00 90.00
With the nearest neighbours (Å) after each atom.
Space group I4mm (No. 107)
Unique sites:
Li (0.0000, 0.0000, 0.0000)  4 Th 3.30, 4 Pr 3.34, 4 Li 3.69
Pr (0.0000, 0.0000, 0.6593)  4 Li 3.34, 4 Th 3.56, 4 Pr 3.69
Th (0.0000, 0.0000, 0.3451)  4 Li 3.30, 4 Pr 3.56, 4 Th 3.69

Calculated values
Magnetization   0.0 μB per cell


b | VASP calculation (GGA-PBE) on crystalline LiPrTh at its relaxed geometry.

abc: 3.6403 3.6403 13.3090
angles: 90.00 90.00 90.00
With the nearest neighbours (Å) after each atom.
Space group P4/nmm (No. 129, origin choice 2)
Unique sites:
Li (0.2500, 0.2500, 0.0502)  4 Li 2.90
Pr (0.2500, 0.2500, 0.7771)  5 Li 3.45-3.63, 4 Th 3.59, 4 Pr 3.64
Th (0.2500, 0.2500, 0.4113)  8 Th 3.49-3.64, 4 Pr 3.59

Calculated values
Magnetization   0.0 μB per cell


We find b to be the most stable, with the next structure 99 meV per atom higher.


a | VASP calculation (GGA-PBE) on crystalline LiPr3Tl3 at its relaxed geometry.

abc: 8.4459 11.6006 8.6550
angles: 90.00 97.23 90.00
With the nearest neighbours (Å) after each atom.
Space group C2/m (No. 12)
Unique sites:
Li (0.2192, 0.0000, 0.4659)  4 Tl 2.76-3.08
Pr (0.0000, 0.2516, 0.5000)  6 Tl 3.36-3.38, 4 Li 3.49-3.72
Pr (0.0000, 0.3198, 0.0000)  6 Tl 3.12-3.34
Pr (0.1292, 0.0000, 0.8447)  5 Tl 3.35-3.71, 2 Li 3.46-3.73, 1 Pr 3.67
Tl (0.0235, 0.5000, 0.3036)  2 Li 2.76-3.08
Tl (0.2121, 0.1543, 0.2220)  1 Li 2.76

Calculated values
Magnetization   0.0 μB per cell


b | VASP calculation (GGA-PBE) on crystalline LiPr3Tl3 at its relaxed geometry.

abc: 11.6954 4.7782 15.7486
angles: 90.00 109.47 90.00
With the nearest neighbours (Å) after each atom.
Space group C2/m (No. 12)
Unique sites:
Li (0.2425, 0.0000, 0.4024)  4 Tl 2.75-3.04
Pr (0.0386, 0.5000, 0.3854)  7 Tl 3.31-3.60, 4 Li 3.32-3.56
Pr (0.0928, 0.5000, 0.9175)  7 Tl 3.24-3.54
Pr (0.2430, 0.5000, 0.2236)  6 Tl 3.31-3.48, 2 Li 3.69
Tl (0.0338, 0.0000, 0.2389)  1 Li 2.90, 1 Tl 3.15
Tl (0.1261, 0.0000, 0.0725)  2 Tl 3.07-3.15, 5 Pr 3.24-3.34
Tl (0.1359, 0.0000, 0.5539)  3 Li 2.75-3.04, 1 Tl 3.06

Calculated values
Magnetization   0.0 μB per cell


We find b to be the most stable, with the next structure 67 meV per atom higher.


a | VASP calculation (GGA-PBE) on crystalline LiPr2Tl2 at its relaxed geometry.

abc: 11.4524 4.8454 11.5583
angles: 90.00 117.05 90.00
With the nearest neighbours (Å) after each atom.
Space group C2/m (No. 12)
Unique sites:
Li (0.2218, 0.0000, 0.3581)  4 Tl 2.76-3.04
Pr (0.0174, 0.5000, 0.3359)  4 Li 3.30-3.51, 7 Tl 3.31-3.50
Pr (0.1768, 0.5000, 0.0979)  6 Tl 3.28-3.46, 1 Pr 3.63
Tl (0.0251, 0.0000, 0.8752)  1 Li 2.89, 1 Tl 3.19
Tl (0.1484, 0.0000, 0.5799)  3 Li 2.76-3.04, 1 Tl 3.04

Calculated values
Magnetization   0.0 μB per cell


b | VASP calculation (GGA-PBE) on crystalline LiPr2Tl2 at its relaxed geometry.

abc: 6.7931 13.3479 6.5487
angles: 90.00 90.00 90.00
With the nearest neighbours (Å) after each atom.
Space group Ibam (No. 72)
Unique sites:
Li (0.0000, 0.0000, 0.2500)  4 Tl 2.70
Pr (0.2068, 0.3546, 0.0000)  2 Li 3.23, 6 Tl 3.24-3.56
Tl (0.2269, 0.1120, 0.0000)  2 Li 2.70

Calculated values
Magnetization   0.0 μB per cell


We find a to be the most stable, with the next structure 108 meV per atom higher.


a | VASP calculation (GGA-PBE) on crystalline Li4PrTl at its relaxed geometry.

abc: 4.8057 4.8057 6.7264
angles: 90.00 90.00 120.00
With the nearest neighbours (Å) after each atom.
Space group P6/mmm (No. 191)
Unique sites:
Li (0.3333, 0.6667, 0.1962)  4 Li 2.64-2.77
Pr (0.0000, 0.0000, 0.5000)  2 Tl 3.36, 12 Li 3.45
Tl (0.0000, 0.0000, 0.0000)  12 Li 3.07, 2 Pr 3.36

Calculated values
Magnetization   0.1 μB per cell


b | VASP calculation (GGA-PBE) on crystalline Li4PrTl at its relaxed geometry.

abc: 7.9565 7.9565 7.9565
angles: 90.00 90.00 90.00
With the nearest neighbours (Å) after each atom.
Space group F-43m (No. 216)
Unique sites:
Li (0.1238, 0.1238, 0.1238)  6 Li 2.79-2.84
Pr (0.0000, 0.0000, 0.5000)  12 Li 3.30, 4 Tl 3.45
Tl (0.2500, 0.2500, 0.7500)  12 Li 3.30, 4 Pr 3.45

Calculated values
Magnetization   0.0 μB per cell


We find b to be the most stable, with the next structure 46 meV per atom higher.